DFT (GGA-PBE) results for a relaxed Pm8CoPt3I4 crystal.

Results
- energy (eV/atom) = -5.334
- formation energy (no corrections) (eV per atom) = -0.9943
- N(E_F) (states/eV per atom) = 0.6447
- space group = No. 166

a b c (Å): 8.4087 9.3921 8.4082
angles (deg): 116.61 120.00 90.00
Fractional coordinates of all 16 atoms:
Pt (0.0000, 0.5000, 0.5000)
Pt (0.5000, 0.5000, 0.5000)
Pt (0.5000, 0.5000, 0.0000)
Pm (0.7292, 0.6872, 0.4584)
Pm (0.2206, 0.6837, 0.4412)
Pm (0.2708, 0.3128, 0.5416)
Pm (0.7423, 0.6838, 0.9632)
Pm (0.2209, 0.6838, 0.9632)
Pm (0.7794, 0.3163, 0.5588)
Pm (0.7791, 0.3162, 0.0368)
Pm (0.2577, 0.3162, 0.0368)
Co (0.0000, 0.5000, 0.0000)
I (0.0000, 0.0000, 0.0000)
I (0.0000, 0.0000, 0.5000)
I (0.5000, 0.0000, 0.5000)
I (0.5000, 0.0000, 0.0000)